SrRuSeN2: PBEsol geometry, SCAN.

Formation energy (no corrections)   2.0761 eV/atom
Space group   P4/mmm (123)
Electronic total energy   -17.0764 eV/atom
Magnetization   7.5 μB/cell

Cell lengths 4.227, 4.227, 5.911 Å; angles 90.00, 90.00, 90.00 degrees
Element x y z (fractional)
Ru (0.500, 0.500, 0.500)
N (0.000, 0.500, 0.000)
N (0.500, 0.000, 0.000)
Se (0.000, 0.000, 0.500)
Sr (0.000, 0.000, 0.000)